(1)
A plane-wave DFT calculation with GGA-PBE was carried out for a relaxed structure of Cs5PtSeO2.

Unit cell a=5.976 b=5.976 c=9.728 alpha=90.00 beta=90.00 gamma=90.00
Space group P4/mmm (No. 123)
Unique sites:
Cs (0.000, 0.000, 0.000)
Cs (0.000, 0.500, 0.266)
Pt (0.000, 0.000, 0.500)
Se (0.500, 0.500, 0.000)
O (0.000, 0.000, 0.299)

Output
energy relative to the elements, uncorrected = -863 kJ/mol of formula units
density of states at the Fermi level = 5.18 states/eV/f.u.

(2)
A plane-wave DFT calculation with GGA-PBE was carried out for a relaxed structure of Pm7ZnSe5.

Unit cell a=13.766 b=4.135 c=25.082 alpha=90.00 beta=90.04 gamma=90.00
Space group C2/m (No. 12)
Unique sites:
Pm (0.033, 0.000, 0.250)
Pm (0.085, 0.500, 0.390)
Pm (0.086, 0.500, 0.110)
Pm (0.138, 0.000, 0.537)
Pm (0.138, 0.000, 0.963)
Pm (0.191, 0.500, 0.822)
Pm (0.192, 0.500, 0.679)
Zn (0.197, 0.500, 0.250)
Se (0.000, 0.500, 0.000)
Se (0.000, 0.500, 0.500)
Se (0.052, 0.000, 0.856)
Se (0.053, 0.000, 0.644)
Se (0.223, 0.000, 0.072)
Se (0.223, 0.000, 0.428)

Output
energy relative to the elements, uncorrected = -1813 kJ/mol of formula units
density of states at the Fermi level = 9.84 states/eV/f.u.

> Which formula does entry 2 have?

Pm7ZnSe5

> Number 2 is which compound?

Pm7ZnSe5

What did the first record say?
A plane-wave DFT calculation with GGA-PBE was carried out for a relaxed structure of Cs5PtSeO2.

Unit cell a=5.976 b=5.976 c=9.728 alpha=90.00 beta=90.00 gamma=90.00
Space group P4/mmm (No. 123)
Unique sites:
Cs (0.000, 0.000, 0.000)
Cs (0.000, 0.500, 0.266)
Pt (0.000, 0.000, 0.500)
Se (0.500, 0.500, 0.000)
O (0.000, 0.000, 0.299)

Output
energy relative to the elements, uncorrected = -863 kJ/mol of formula units
density of states at the Fermi level = 5.18 states/eV/f.u.

> Among the records above, which one has the lowest density of states at the Fermi level?

Cs5PtSeO2